Model w:
Computed, not measured: a geometry-optimized RbS3O structure at the PBE-GGA level of DFT.

* volume: 51.499 A^3/atom
* SG: No. 221
* N(E_F): 112.067 states/eV/cell

abc: 6.362 6.362 6.362
angles: 90.00 90.00 90.00
Sites, in units of the cell vectors:
Rb (0.000, 0.000, 0.000)
S (0.000, 0.000, 0.500)
S (0.000, 0.500, 0.000)
S (0.500, 0.000, 0.000)
O (0.500, 0.500, 0.500)

---

Model x:
Computed, not measured: a geometry-optimized RbS3O structure at the PBE-GGA level of DFT.

* volume: 18.806 A^3/atom
* SG: No. 221
* N(E_F): 3.336 states/eV/cell

abc: 4.547 4.547 4.547
angles: 90.00 90.00 90.00
Sites, in units of the cell vectors:
Rb (0.000, 0.000, 0.000)
S (0.000, 0.500, 0.500)
S (0.500, 0.000, 0.500)
S (0.500, 0.500, 0.000)
O (0.500, 0.500, 0.500)

---

Q: Which of them is the most stable? A: model x.

---

Model w:
Computed, not measured: a geometry-optimized Rb2SO4 structure at the PBE-GGA level of DFT.

* volume: 25.663 A^3/atom
* SG: No. 42
* N(E_F): 0.000 states/eV/cell

abc: 6.320 6.312 6.369
angles: 59.79 59.65 60.56
Sites, in units of the cell vectors:
Rb (0.000, 0.000, 0.500)
Rb (0.500, 0.500, 0.000)
S (0.250, 0.250, 0.750)
O (0.016, 0.289, 0.984)
O (0.210, 0.483, 0.517)
O (0.289, 0.016, 0.711)
O (0.483, 0.210, 0.790)

---

Model x:
Computed, not measured: a geometry-optimized Rb2SO4 structure at the PBE-GGA level of DFT.

* volume: 15.331 A^3/atom
* SG: No. 139
* N(E_F): 2.417 states/eV/cell

abc: 7.356 7.356 7.356
angles: 148.67 148.67 44.90
Sites, in units of the cell vectors:
Rb (0.145, 0.145, 0.000)
Rb (0.855, 0.855, 0.000)
S (0.500, 0.500, 0.000)
O (0.000, 0.500, 0.500)
O (0.387, 0.387, 0.000)
O (0.500, 0.000, 0.500)
O (0.613, 0.613, 0.000)

---

Model y:
Computed, not measured: a geometry-optimized Rb2SO4 structure at the PBE-GGA level of DFT.

* volume: 18.390 A^3/atom
* SG: No. 62
* N(E_F): 0.000 states/eV/cell

abc: 7.972 6.080 10.625
angles: 90.00 90.00 90.00
Sites, in units of the cell vectors:
Rb (0.008, 0.250, 0.201)
Rb (0.175, 0.750, 0.412)
Rb (0.325, 0.250, 0.912)
Rb (0.492, 0.750, 0.701)
Rb (0.508, 0.250, 0.299)
Rb (0.675, 0.750, 0.088)
Rb (0.825, 0.250, 0.588)
Rb (0.992, 0.750, 0.799)
S (0.236, 0.750, 0.081)
S (0.264, 0.250, 0.581)
S (0.736, 0.750, 0.419)
S (0.764, 0.250, 0.919)
O (0.048, 0.750, 0.082)
O (0.200, 0.250, 0.449)
O (0.201, 0.049, 0.648)
O (0.201, 0.451, 0.648)
O (0.299, 0.549, 0.148)
O (0.299, 0.951, 0.148)
O (0.300, 0.750, 0.949)
O (0.452, 0.250, 0.582)
O (0.548, 0.750, 0.418)
O (0.700, 0.250, 0.051)
O (0.701, 0.049, 0.852)
O (0.701, 0.451, 0.852)
O (0.799, 0.549, 0.352)
O (0.799, 0.951, 0.352)
O (0.800, 0.750, 0.551)
O (0.952, 0.250, 0.918)

---

Q: Which of them is the most stable? A: model y.